Record 1
First-principles (SCAN) data for a PBEsol-optimized structure of AgHg2PO4, as listed in Alexandria.

```
data_AgHg2PO4
_chemical_formula_sum 'Ag4 Hg8 P4 O16'
_symmetry_space_group_name_H-M 'P b a m'
_symmetry_Int_Tables_number 55
_cell_length_a 8.633
_cell_length_b 9.269
_cell_length_c 6.203
_cell_angle_alpha 90.00
_cell_angle_beta 90.00
_cell_angle_gamma 90.00
loop_
_symmetry_equiv_pos_as_xyz
'x,y,z'
'-x,-y,-z'
'-x,-y,z'
'x,y,-z'
'x+1/2,-y+1/2,-z'
'-x+1/2,y+1/2,z'
'-x+1/2,y+1/2,-z'
'x+1/2,-y+1/2,z'
loop_
_atom_site_label
_atom_site_fract_x
_atom_site_fract_y
_atom_site_fract_z
Ag1 0.029 0.148 0.000
Hg1 0.245 0.968 0.213
P1 0.039 0.715 0.500
O1 0.055 0.299 0.289
O2 0.117 0.867 0.500
O3 0.165 0.593 0.500
```

Summary:
Raw formation energy ... -1.311 eV per atom
Theoretical density ... 8082 kg/m³
Total energy ... -854.05 eV/cell

=====

Record 2
First-principles (SCAN) data for a PBEsol-optimized structure of AgHg3SbO6, as listed in Alexandria.

```
data_AgHg3SbO6
_chemical_formula_sum 'Ag6 Hg18 Sb6 O36'
_symmetry_space_group_name_H-M 'R -3 c'
_symmetry_Int_Tables_number 167
_symmetry_space_group_name_Hall '-R 3 2"c'
_cell_length_a 9.6275
_cell_length_b 9.6275
_cell_length_c 12.4737
_cell_angle_alpha 90.00
_cell_angle_beta 90.00
_cell_angle_gamma 120.00
loop_
_atom_site_label
_atom_site_fract_x
_atom_site_fract_y
_atom_site_fract_z
Ag1 0.0000 0.0000 0.2500
Hg1 0.0000 0.3375 0.2500
Sb1 0.0000 0.0000 0.0000
O1 0.0886 0.1944 0.4043
```

Summary:
Raw formation energy ... -0.693 eV per atom
Theoretical density ... 9228 kg/m³
Total energy ... -1908.80 eV/cell

=====

Record 3
First-principles (SCAN) data for a PBEsol-optimized structure of VAg3HgO4, as listed in Alexandria.

```
data_VAg3HgO4
_chemical_formula_sum 'V1 Ag3 Hg1 O4'
_symmetry_space_group_name_H-M 'P 1'
_symmetry_Int_Tables_number 1
_cell_length_a 4.556
_cell_length_b 5.807
_cell_length_c 5.936
_cell_angle_alpha 81.71
_cell_angle_beta 68.18
_cell_angle_gamma 67.34
loop_
_symmetry_equiv_pos_as_xyz
'x,y,z'
loop_
_atom_site_label
_atom_site_fract_x
_atom_site_fract_y
_atom_site_fract_z
V1 0.000 0.000 0.000
Ag1 0.181 0.248 0.425
Ag2 0.380 0.405 0.751
Ag3 0.843 0.732 0.601
Hg1 0.507 0.586 0.293
O1 0.045 0.258 0.079
O2 0.381 0.747 0.930
O3 0.703 0.922 0.247
O4 0.871 0.072 0.752
```

Summary:
Raw formation energy ... -1.171 eV per atom
Theoretical density ... 7888 kg/m³
Total energy ... -215.22 eV/cell

=====

Record 4
First-principles (SCAN) data for a PBEsol-optimized structure of VAg2HgO4, as listed in Alexandria.

```
data_VAg2HgO4
_chemical_formula_sum 'V16 Ag32 Hg16 O64'
_symmetry_space_group_name_H-M 'I -4 2 d'
_symmetry_Int_Tables_number 122
_symmetry_space_group_name_Hall 'I -4 2bw'
_cell_length_a 12.536
_cell_length_b 12.536
_cell_length_c 12.656
_cell_angle_alpha 90.00
_cell_angle_beta 90.00
_cell_angle_gamma 90.00
loop_
_atom_site_label
_atom_site_fract_x
_atom_site_fract_y
_atom_site_fract_z
V1 0.103 0.138 0.265
Ag1 0.066 0.096 0.922
Ag2 0.151 0.714 0.936
Hg1 0.060 0.191 0.535
O1 0.025 0.629 0.033
O2 0.061 0.691 0.444
O3 0.095 0.602 0.646
O4 0.141 0.231 0.994
```

Summary:
Raw formation energy ... -1.243 eV per atom
Theoretical density ... 7097 kg/m³
Total energy ... -2932.09 eV/cell

=====

Record 5
First-principles (SCAN) data for a PBEsol-optimized structure of AgHgOs2, as listed in Alexandria.

```
data_AgHgOs2
_chemical_formula_sum 'Ag4 Hg4 Os8'
_symmetry_space_group_name_H-M 'F -4 3 m'
_symmetry_Int_Tables_number 216
_symmetry_space_group_name_Hall 'F -4 2 3'
_cell_length_a 6.338
_cell_length_b 6.338
_cell_length_c 6.338
_cell_angle_alpha 90.00
_cell_angle_beta 90.00
_cell_angle_gamma 90.00
loop_
_atom_site_label
_atom_site_fract_x
_atom_site_fract_y
_atom_site_fract_z
Ag1 0.000 0.000 0.000
Hg1 0.250 0.250 0.250
Os1 0.000 0.000 0.500
Os2 0.250 0.250 0.750
```

Summary:
Theoretical density ... 17974 kg/m³
Total energy ... -956.69 eV/cell
Calculated formation energy ... 1.0299 eV/atom

=====

Record 6
First-principles (SCAN) data for a PBEsol-optimized structure of AgHgOs2, as listed in Alexandria.

```
data_AgHgOs2
_chemical_formula_sum 'Ag2 Hg2 Os4'
_symmetry_space_group_name_H-M 'I 4/m m m'
_symmetry_Int_Tables_number 139
_symmetry_space_group_name_Hall '-I 4 2'
_cell_length_a 3.795
_cell_length_b 3.795
_cell_length_c 8.880
_cell_angle_alpha 90.00
_cell_angle_beta 90.00
_cell_angle_gamma 90.00
loop_
_atom_site_label
_atom_site_fract_x
_atom_site_fract_y
_atom_site_fract_z
Ag1 0.000 0.000 0.000
Hg1 0.000 0.000 0.500
Os1 0.000 0.500 0.250
```

Summary:
Theoretical density ... 17891 kg/m³
Total energy ... -477.66 eV/cell
Calculated formation energy ... 1.1162 eV/atom

=====

Record 7
First-principles (SCAN) data for a PBEsol-optimized structure of AgHgOs2, as listed in Alexandria.

```
data_AgHgOs2
_chemical_formula_sum 'Ag2 Hg2 Os4'
_symmetry_space_group_name_H-M 'C m m m'
_symmetry_Int_Tables_number 65
_symmetry_space_group_name_Hall '-C 2 2'
_cell_length_a 2.768
_cell_length_b 4.742
_cell_length_c 9.773
_cell_angle_alpha 90.00
_cell_angle_beta 90.00
_cell_angle_gamma 90.00
loop_
_atom_site_label
_atom_site_fract_x
_atom_site_fract_y
_atom_site_fract_z
Ag1 0.000 0.000 0.000
Hg1 0.000 0.000 0.500
Os1 0.000 0.500 0.245
```

Summary:
Theoretical density ... 17833 kg/m³
Total energy ... -478.91 eV/cell
Calculated formation energy ... 0.9593 eV/atom

=====

Record 8
First-principles (SCAN) data for a PBEsol-optimized structure of AgHgOs, as listed in Alexandria.

```
data_AgHgOs
_chemical_formula_sum 'Ag1 Hg1 Os1'
_symmetry_space_group_name_H-M 'P 3 m 1'
_symmetry_Int_Tables_number 156
_cell_length_a 4.6711
_cell_length_b 4.6711
_cell_length_c 2.6621
_cell_angle_alpha 90.00
_cell_angle_beta 90.00
_cell_angle_gamma 120.00
loop_
_symmetry_equiv_pos_as_xyz
'x,y,z'
'-y,x-y,z'
'-x+y,-x,z'
'-y,-x,z'
'-x+y,y,z'
'x,x-y,z'
loop_
_atom_site_label
_atom_site_fract_x
_atom_site_fract_y
_atom_site_fract_z
Ag1 0.0000 0.0000 0.0000
Hg1 0.6667 0.3333 0.2831
Os1 0.3333 0.6667 0.6015
```

Summary:
Theoretical density ... 16463 kg/m³
Total energy ... -168.54 eV/cell
Calculated formation energy ... 0.9578 eV/atom

=====

Record 9
First-principles (SCAN) data for a PBEsol-optimized structure of AgHgOs2, as listed in Alexandria.

```
data_AgHgOs2
_chemical_formula_sum 'Ag1 Hg1 Os2'
_symmetry_space_group_name_H-M 'P m m m'
_symmetry_Int_Tables_number 47
_cell_length_a 2.712
_cell_length_b 4.373
_cell_length_c 5.491
_cell_angle_alpha 90.00
_cell_angle_beta 90.00
_cell_angle_gamma 90.00
loop_
_symmetry_equiv_pos_as_xyz
'x,y,z'
'-x,-y,-z'
'-x,-y,z'
'x,y,-z'
'x,-y,-z'
'-x,y,z'
'-x,y,-z'
'x,-y,z'
loop_
_atom_site_label
_atom_site_fract_x
_atom_site_fract_y
_atom_site_fract_z
Ag1 0.000 0.000 0.000
Hg1 0.000 0.000 0.500
Os1 0.500 0.500 0.219
```

Summary:
Theoretical density ... 17564 kg/m³
Total energy ... -238.97 eV/cell
Calculated formation energy ... 1.0798 eV/atom

=====

Record 10
First-principles (SCAN) data for a PBEsol-optimized structure of AgHgOs2, as listed in Alexandria.

```
data_AgHgOs2
_chemical_formula_sum 'Ag1 Hg1 Os2'
_symmetry_space_group_name_H-M 'P m m m'
_symmetry_Int_Tables_number 47
_cell_length_a 2.800
_cell_length_b 4.672
_cell_length_c 4.886
_cell_angle_alpha 90.00
_cell_angle_beta 90.00
_cell_angle_gamma 90.00
loop_
_symmetry_equiv_pos_as_xyz
'x,y,z'
'-x,-y,-z'
'-x,-y,z'
'x,y,-z'
'x,-y,-z'
'-x,y,z'
'-x,y,-z'
'x,-y,z'
loop_
_atom_site_label
_atom_site_fract_x
_atom_site_fract_y
_atom_site_fract_z
Ag1 0.000 0.000 0.000
Hg1 0.500 0.500 0.000
Os1 0.000 0.500 0.500
Os2 0.500 0.000 0.500
```

Summary:
Theoretical density ... 17895 kg/m³
Total energy ... -239.66 eV/cell
Calculated formation energy ... 0.9091 eV/atom

=====

Record 11
First-principles (SCAN) data for a PBEsol-optimized structure of AgHgOs2, as listed in Alexandria.

```
data_AgHgOs2
_chemical_formula_sum 'Ag2 Hg2 Os4'
_symmetry_space_group_name_H-M 'I m m 2'
_symmetry_Int_Tables_number 44
_cell_length_a 2.792
_cell_length_b 4.789
_cell_length_c 9.882
_cell_angle_alpha 90.00
_cell_angle_beta 90.00
_cell_angle_gamma 90.00
loop_
_symmetry_equiv_pos_as_xyz
'x,y,z'
'-x,-y,z'
'-x,y,z'
'x,-y,z'
'x+1/2,y+1/2,z+1/2'
'-x+1/2,-y+1/2,z+1/2'
'-x+1/2,y+1/2,z+1/2'
'x+1/2,-y+1/2,z+1/2'
loop_
_atom_site_label
_atom_site_fract_x
_atom_site_fract_y
_atom_site_fract_z
Ag1 0.000 0.000 0.000
Hg1 0.000 0.500 0.224
Os1 0.000 0.000 0.466
Os2 0.000 0.500 0.759
```

Summary:
Theoretical density ... 17314 kg/m³
Total energy ... -479.48 eV/cell
Calculated formation energy ... 0.8887 eV/atom

=====

Record 12
First-principles (SCAN) data for a PBEsol-optimized structure of Ag3HgP, as listed in Alexandria.

```
data_Ag3HgP
_chemical_formula_sum 'Ag3 Hg1 P1'
_symmetry_space_group_name_H-M 'P m -3 m'
_symmetry_Int_Tables_number 221
_symmetry_space_group_name_Hall '-P 4 2 3'
_cell_length_a 5.029
_cell_length_b 5.029
_cell_length_c 5.029
_cell_angle_alpha 90.00
_cell_angle_beta 90.00
_cell_angle_gamma 90.00
loop_
_atom_site_label
_atom_site_fract_x
_atom_site_fract_y
_atom_site_fract_z
Ag1 0.000 0.000 0.500
Hg1 0.000 0.000 0.000
P1 0.500 0.500 0.500
```

Summary:
Theoretical density ... 7246 kg/m³
Offset from the most stable computed form ... 977 meV/atom
Total energy ... -167.07 eV/cell
Calculated formation energy ... 1.1191 eV/atom

=====

Record 13
First-principles (SCAN) data for a PBEsol-optimized structure of AgHgP, as listed in Alexandria.

```
data_AgHgP
_chemical_formula_sum 'Ag2 Hg2 P2'
_symmetry_space_group_name_H-M 'I 4 m m'
_symmetry_Int_Tables_number 107
_symmetry_space_group_name_Hall 'I 4 -2'
_cell_length_a 2.849
_cell_length_b 2.849
_cell_length_c 13.615
_cell_angle_alpha 90.00
_cell_angle_beta 90.00
_cell_angle_gamma 90.00
loop_
_atom_site_label
_atom_site_fract_x
_atom_site_fract_y
_atom_site_fract_z
Ag1 0.000 0.000 0.000
Hg1 0.000 0.000 0.672
P1 0.000 0.000 0.364
```

Summary:
Theoretical density ... 10200 kg/m³
Total energy ... -217.24 eV/cell
Calculated formation energy ... 0.4366 eV/atom

=====

Record 14
First-principles (SCAN) data for a PBEsol-optimized structure of Ag2HgP4, as listed in Alexandria.

```
data_Ag2HgP4
_chemical_formula_sum 'Ag2 Hg1 P4'
_symmetry_space_group_name_H-M 'P -4 2 m'
_symmetry_Int_Tables_number 111
_cell_length_a 5.317
_cell_length_b 5.317
_cell_length_c 4.787
_cell_angle_alpha 90.00
_cell_angle_beta 90.00
_cell_angle_gamma 90.00
loop_
_symmetry_equiv_pos_as_xyz
'x,y,z'
'y,-x,-z'
'-x,-y,z'
'-y,x,-z'
'x,-y,-z'
'y,x,z'
'-x,y,-z'
'-y,-x,z'
loop_
_atom_site_label
_atom_site_fract_x
_atom_site_fract_y
_atom_site_fract_z
Ag1 0.000 0.500 0.000
Hg1 0.000 0.000 0.500
P1 0.351 0.351 0.690
```

Summary:
Theoretical density ... 6630 kg/m³
Total energy ... -169.96 eV/cell
Calculated formation energy ... 0.3620 eV/atom

=====

Record 15
First-principles (SCAN) data for a PBEsol-optimized structure of AgHgP2, as listed in Alexandria.

```
data_AgHgP2
_chemical_formula_sum 'Ag2 Hg2 P4'
_symmetry_space_group_name_H-M 'C 1 m 1'
_symmetry_Int_Tables_number 8
_cell_length_a 7.841
_cell_length_b 3.248
_cell_length_c 6.443
_cell_angle_alpha 90.00
_cell_angle_beta 112.76
_cell_angle_gamma 90.00
loop_
_symmetry_equiv_pos_as_xyz
'x,y,z'
'x,-y,z'
'x+1/2,y+1/2,z'
'x+1/2,-y+1/2,z'
loop_
_atom_site_label
_atom_site_fract_x
_atom_site_fract_y
_atom_site_fract_z
Ag1 0.000 0.000 0.000
Hg1 0.309 0.500 0.297
P1 0.117 0.500 0.552
P2 0.218 0.000 0.803
```

Summary:
Theoretical density ... 8130 kg/m³
Total energy ... -239.28 eV/cell
Calculated formation energy ... 0.1723 eV/atom

=====

Record 16
First-principles (SCAN) data for a PBEsol-optimized structure of Ag3HgP, as listed in Alexandria.

```
data_Ag3HgP
_chemical_formula_sum 'Ag3 Hg1 P1'
_symmetry_space_group_name_H-M 'P m -3 m'
_symmetry_Int_Tables_number 221
_symmetry_space_group_name_Hall '-P 4 2 3'
_cell_length_a 4.738
_cell_length_b 4.738
_cell_length_c 4.738
_cell_angle_alpha 90.00
_cell_angle_beta 90.00
_cell_angle_gamma 90.00
loop_
_atom_site_label
_atom_site_fract_x
_atom_site_fract_y
_atom_site_fract_z
Ag1 0.000 0.000 0.500
Hg1 0.500 0.500 0.500
P1 0.000 0.000 0.000
```

Summary:
Theoretical density ... 8669 kg/m³
Offset from the most stable computed form ... 0 meV/atom
Total energy ... -171.96 eV/cell
Calculated formation energy ... 0.1419 eV/atom

=====

Record 17
First-principles (SCAN) data for a PBEsol-optimized structure of AgHgPS2, as listed in Alexandria.

```
data_AgHgPS2
_chemical_formula_sum 'Ag1 Hg1 P1 S2'
_symmetry_space_group_name_H-M 'P 4/m m m'
_symmetry_Int_Tables_number 123
_symmetry_space_group_name_Hall '-P 4 2'
_cell_length_a 4.762
_cell_length_b 4.762
_cell_length_c 4.758
_cell_angle_alpha 90.00
_cell_angle_beta 90.00
_cell_angle_gamma 90.00
loop_
_atom_site_label
_atom_site_fract_x
_atom_site_fract_y
_atom_site_fract_z
Ag1 0.000 0.000 0.000
Hg1 0.500 0.500 0.500
P1 0.000 0.000 0.500
S1 0.000 0.500 0.000
```

Summary:
Raw formation energy ... 0.950 eV per atom
Theoretical density ... 6210 kg/m³
Offset from the most stable computed form ... 0 meV/atom
Total energy ... -124.44 eV/cell

=====

Record 18
First-principles (SCAN) data for a PBEsol-optimized structure of AgHgPS2, as listed in Alexandria.

```
data_AgHgPS2
_chemical_formula_sum 'Ag1 Hg1 P1 S2'
_symmetry_space_group_name_H-M 'P 4/m m m'
_symmetry_Int_Tables_number 123
_symmetry_space_group_name_Hall '-P 4 2'
_cell_length_a 4.976
_cell_length_b 4.976
_cell_length_c 4.868
_cell_angle_alpha 90.00
_cell_angle_beta 90.00
_cell_angle_gamma 90.00
loop_
_atom_site_label
_atom_site_fract_x
_atom_site_fract_y
_atom_site_fract_z
Ag1 0.000 0.000 0.000
Hg1 0.500 0.500 0.500
P1 0.500 0.500 0.000
S1 0.000 0.500 0.500
```

Summary:
Raw formation energy ... 1.109 eV per atom
Theoretical density ... 5560 kg/m³
Offset from the most stable computed form ... 160 meV/atom
Total energy ... -123.64 eV/cell

=====

Record 19
First-principles (SCAN) data for a PBEsol-optimized structure of AgHg2Pb, as listed in Alexandria.

```
data_AgHg2Pb
_chemical_formula_sum 'Ag2 Hg4 Pb2'
_symmetry_space_group_name_H-M 'C 1 m 1'
_symmetry_Int_Tables_number 8
_cell_length_a 9.394
_cell_length_b 3.453
_cell_length_c 5.777
_cell_angle_alpha 90.00
_cell_angle_beta 101.81
_cell_angle_gamma 90.00
loop_
_symmetry_equiv_pos_as_xyz
'x,y,z'
'x,-y,z'
'x+1/2,y+1/2,z'
'x+1/2,-y+1/2,z'
loop_
_atom_site_label
_atom_site_fract_x
_atom_site_fract_y
_atom_site_fract_z
Ag1 0.000 0.000 0.000
Hg1 0.009 0.500 0.560
Hg2 0.260 0.000 0.794
Pb1 0.245 0.500 0.261
```

Summary:
Theoretical density ... 12967 kg/m³
Total energy ... -486.18 eV/cell
Calculated formation energy ... 0.0980 eV/atom

=====

Record 20
First-principles (SCAN) data for a PBEsol-optimized structure of AgHg2Pb, as listed in Alexandria.

```
data_AgHg2Pb
_chemical_formula_sum 'Ag2 Hg4 Pb2'
_symmetry_space_group_name_H-M 'I -4 m 2'
_symmetry_Int_Tables_number 119
_symmetry_space_group_name_Hall 'I -4 -2'
_cell_length_a 4.513
_cell_length_b 4.513
_cell_length_c 8.882
_cell_angle_alpha 90.00
_cell_angle_beta 90.00
_cell_angle_gamma 90.00
loop_
_atom_site_label
_atom_site_fract_x
_atom_site_fract_y
_atom_site_fract_z
Ag1 0.000 0.000 0.000
Hg1 0.000 0.000 0.500
Hg2 0.000 0.500 0.250
Pb1 0.000 0.500 0.750
```

Summary:
Theoretical density ... 13151 kg/m³
Total energy ... -486.03 eV/cell
Calculated formation energy ... 0.1157 eV/atom